# CrGeTeRu GGA-PBE relaxed
data_CrGeTeRu
_cell_length_a 4.740
_cell_length_b 4.740
_cell_length_c 6.434
_cell_angle_alpha 128.81
_cell_angle_beta 128.81
_cell_angle_gamma 43.51
_space_group_name_H-M_alt 'P 1'
_space_group_IT_number 1
_space_group_name_Hall 'P 1'
loop_
_atom_site_label
_atom_site_type_symbol
_atom_site_fract_x
_atom_site_fract_y
_atom_site_fract_z
Cr1 Cr 0.000 0.000 0.000
Ge1 Ge 0.669 0.669 0.893
Te1 Te 0.782 0.782 0.445
Ru1 Ru 0.420 0.420 0.289
# Magnetic moment = 3.1 μB per cell
# Energy above the most stable polymorph in this dataset = 17.9 kJ per mole of atoms
# SG = Cm, No. 8
# Formation energy from raw total energies = 0.76 eV per formula unit